Record 1
The following is a DFT calculation (PBE) of a geometry-optimized CaDyCd4 structure. Values from VASP.

Values from the calculation:
- Symmetry: F-43m (216)
- Energy relative to the elements: -262 meV/atom
- Density of states at the Fermi level: 0.73 states/eV per atom
- Polymorph energy (0 for the lowest one): 0.068 eV per atom
- Magnetization: 0.000 μB per formula unit

Quantum ESPRESSO input file:
```
&SYSTEM
  ibrav = 0, nat = 6, ntyp = 3
/
ATOMIC_SPECIES
Ca 40.08 Ca.upf
Dy 162.50 Dy.upf
Cd 112.41 Cd.upf
CELL_PARAMETERS angstrom
0.000 4.208 4.208
4.208 0.000 4.208
4.208 4.208 0.000
ATOMIC_POSITIONS crystal
Ca 0.000 0.000 0.000
Dy 0.250 0.250 0.250
Cd 0.126 0.625 0.625
Cd 0.625 0.126 0.625
Cd 0.625 0.625 0.126
Cd 0.625 0.625 0.625
```

=====

Record 2
The following is a DFT calculation (PBE) of a geometry-optimized PuScPS structure. Values from VASP.

Values from the calculation:
- Symmetry: R3m (160)
- Density of states at the Fermi level: 2.16 states/eV per atom
- Magnetization: 5.408 μB per formula unit
- E_form (uncorrected): -1.607 eV/atom

Quantum ESPRESSO input file:
```
&SYSTEM
  ibrav = 0, nat = 4, ntyp = 4
/
ATOMIC_SPECIES
Pu 244.00 Pu.upf
Sc 44.96 Sc.upf
P 30.97 P.upf
S 32.06 S.upf
CELL_PARAMETERS angstrom
1.935 1.117 6.255
-1.935 1.117 6.255
0.000 -2.235 6.255
ATOMIC_POSITIONS crystal
Pu 0.000 0.000 0.000
Sc 0.502 0.502 0.502
P 0.246 0.246 0.246
S 0.756 0.756 0.756
```